{"formula": "ScSiSb2", "functional": "PBE", "state": "optimized geometry", "lattice": [[-3.2393, -0.5407, 0.0260], [0.3889, -2.2144, 2.3940], [-1.0081, 6.3295, 6.0183]], "species": ["Sb", "Sb", "Sc", "Si"], "fractional_positions": [[0.0000, 0.0000, 0.9262], [0.5000, 0.5000, 0.2963], [0.0000, 0.0000, 0.5463], [0.5000, 0.5000, 0.7312]], "n_ef_per_ev_cell": 3.55, "crystal_system": "tetragonal", "e_form_raw_ev_per_atom": -0.114}